Record 1
First-principles (PBE) data for a geometry-optimized CrFe2Hg structure, as listed in Alexandria.

Summary:
M_tot = 8.320 μB per formula unit
Crystal system = tetragonal
Symmetry = P4/mmm (123)
E_tot = -6.140 eV per atom

Cell: 3.813 3.813 4.083 Å, 90.00 90.00 90.00°
Fractional positions:
Cr1 0.000 0.000 0.000
Fe1 0.000 0.500 0.500
Fe2 0.500 0.000 0.500
Hg1 0.500 0.500 0.000



Record 2
First-principles (PBE) data for a geometry-optimized CrFeHg2 structure, as listed in Alexandria.

Summary:
M_tot = 6.108 μB per formula unit
Crystal system = tetragonal
Symmetry = P4/mmm (123)
E_tot = -4.165 eV per atom

Cell: 4.272 4.272 3.823 Å, 90.00 90.00 90.00°
Fractional positions:
Cr1 0.000 0.000 0.000
Fe1 0.500 0.500 0.000
Hg1 0.000 0.500 0.500
Hg2 0.500 0.000 0.500



Record 3
First-principles (PBE) data for a geometry-optimized CrFeHg2Ir structure, as listed in Alexandria.

Summary:
M_tot = 0.243 μB per formula unit
Crystal system = tetragonal
Symmetry = P4/mmm (123)
E_tot = -3.753 eV per atom

Cell: 5.155 5.155 4.409 Å, 90.00 90.00 90.00°
Fractional positions:
Cr1 0.000 0.000 0.000
Fe1 0.500 0.500 0.000
Hg1 0.000 0.500 0.500
Hg2 0.500 0.000 0.500
Ir1 0.500 0.500 0.500



Record 4
First-principles (PBE) data for a geometry-optimized CrFe2NiHg structure, as listed in Alexandria.

Summary:
M_tot = 3.626 μB per formula unit
Crystal system = tetragonal
Symmetry = P4/mmm (123)
E_tot = -5.175 eV per atom

Cell: 4.133 4.133 5.005 Å, 90.00 90.00 90.00°
Fractional positions:
Cr1 0.000 0.000 0.000
Fe1 0.000 0.500 0.000
Fe2 0.500 0.000 0.000
Ni1 0.500 0.500 0.500
Hg1 0.000 0.000 0.500



Record 5
First-principles (PBE) data for a geometry-optimized Ho2Cr2Fe15 structure, as listed in Alexandria.

Summary:
M_tot = 26.667 μB per formula unit
Crystal system = trigonal
Symmetry = R-3m (166)
E_tot = -8.177 eV per atom

Cell: 6.331 6.331 6.331 Å, 81.91 81.91 81.91°
Fractional positions:
Ho1 0.158 0.158 0.158
Ho2 0.842 0.842 0.842
Cr1 0.414 0.414 0.414
Cr2 0.586 0.586 0.586
Fe1 0.000 0.500 0.500
Fe2 0.161 0.161 0.658
Fe3 0.161 0.658 0.161
Fe4 0.195 0.500 0.805
Fe5 0.195 0.805 0.500
Fe6 0.342 0.839 0.839
Fe7 0.500 0.000 0.500
Fe8 0.500 0.195 0.805
Fe9 0.500 0.500 0.000
Fe10 0.500 0.805 0.195
Fe11 0.658 0.161 0.161
Fe12 0.805 0.195 0.500
Fe13 0.805 0.500 0.195
Fe14 0.839 0.342 0.839
Fe15 0.839 0.839 0.342



Record 6
First-principles (PBE) data for a geometry-optimized HoCrFe structure, as listed in Alexandria.

Summary:
M_tot = 0.300 μB per formula unit
Crystal system = tetragonal
Symmetry = P4_12_12 (92)
E_tot = -7.004 eV per atom

Cell: 6.582 6.582 5.545 Å, 90.00 90.00 90.00°
Fractional positions:
Ho1 0.229 0.229 0.000
Ho2 0.271 0.729 0.250
Ho3 0.729 0.271 0.750
Ho4 0.771 0.771 0.500
Cr1 0.078 0.078 0.500
Cr2 0.422 0.578 0.750
Cr3 0.578 0.422 0.250
Cr4 0.922 0.922 0.000
Fe1 0.180 0.820 0.750
Fe2 0.320 0.320 0.500
Fe3 0.680 0.680 0.000
Fe4 0.820 0.180 0.250



Record 7
First-principles (PBE) data for a geometry-optimized HoCr2Fe10 structure, as listed in Alexandria.

Summary:
M_tot = 17.237 μB per formula unit
Crystal system = orthorhombic
Symmetry = Immm (71)
E_tot = -8.347 eV per atom

Cell: 6.362 6.362 6.362 Å, 137.00 98.27 97.17°
Fractional positions:
Ho1 0.000 0.000 0.000
Cr1 0.368 0.368 0.000
Cr2 0.632 0.632 0.000
Fe1 0.000 0.000 0.500
Fe2 0.000 0.500 0.000
Fe3 0.223 0.500 0.723
Fe4 0.229 0.729 0.500
Fe5 0.358 0.000 0.358
Fe6 0.500 0.000 0.000
Fe7 0.500 0.500 0.500
Fe8 0.642 0.000 0.642
Fe9 0.771 0.271 0.500
Fe10 0.777 0.500 0.277



Record 8
First-principles (PBE) data for a geometry-optimized HoCrFeSi2 structure, as listed in Alexandria.

Summary:
E_form (uncorrected) = -558 meV per atom
M_tot = 2.979 μB per formula unit
Crystal system = tetragonal
Symmetry = I-4m2 (119)

Cell: 3.897 3.897 10.250 Å, 90.00 90.00 90.00°
Fractional positions:
Ho1 0.000 0.000 0.000
Ho2 0.500 0.500 0.500
Cr1 0.000 0.500 0.750
Cr2 0.500 0.000 0.250
Fe1 0.000 0.500 0.250
Fe2 0.500 0.000 0.750
Si1 0.000 0.000 0.380
Si2 0.000 0.000 0.620
Si3 0.500 0.500 0.120
Si4 0.500 0.500 0.880



no.,mass density (g/cm³)
1,10.19
2,12.11
3,9.94
4,8.22
5,8.55
6,7.54
7,8.41
8,7.02